# 1
The following is a DFT calculation (GGA-PBE) of a geometry-optimized LiPd5Pt5 structure.

Total moment in μB per cell: 0.0
Formation enthalpy at 0 K in kJ/mol of atoms: 23

Geometry as extended XYZ:
```
11
Lattice="6.167 -2.115 0.000 6.167 2.115 0.000 -4.068 0.000 6.882" Properties=species:S:1:pos:R:3 pbc="T T T"
Li 0.000 0.000 0.000
Pd 0.488 0.000 2.387
Pd 2.219 0.000 0.008
Pd 6.167 0.000 0.000
Pd 6.046 0.000 6.875
Pd 7.777 0.000 4.495
Pt -2.034 0.000 3.441
Pt 0.042 0.000 5.046
Pt 4.241 0.000 1.869
Pt 4.024 0.000 5.014
Pt 8.223 0.000 1.837
```


# 2
The following is a DFT calculation (GGA-PBE) of a geometry-optimized LiBeMo2 structure.

Total moment in μB per cell: 0.0
Formation enthalpy at 0 K in kJ/mol of atoms: 30

Geometry as extended XYZ:
```
4
Lattice="-1.832 1.832 3.943 1.832 -1.832 3.943 1.832 1.832 -3.943" Properties=species:S:1:pos:R:3 pbc="T T T"
Li 0.000 0.000 0.000
Be 0.000 0.000 3.943
Mo 1.832 0.000 1.971
Mo 0.000 1.832 1.971
```


# 3
The following is a DFT calculation (GGA-PBE) of a geometry-optimized NaDyCdGa structure.

Total moment in μB per cell: 0.0
Formation enthalpy at 0 K in kJ/mol of atoms: -21

Geometry as extended XYZ:
```
4
Lattice="0.000 3.609 3.609 3.609 0.000 3.609 3.609 3.609 0.000" Properties=species:S:1:pos:R:3 pbc="T T T"
Na 0.000 0.000 0.000
Dy 3.609 3.609 3.609
Cd 5.413 5.413 5.413
Ga 1.804 1.804 1.804
```


# 4
The following is a DFT calculation (GGA-PBE) of a geometry-optimized In2FeOs structure.

Total moment in μB per cell: 2.4
Formation enthalpy at 0 K in kJ/mol of atoms: 37

Geometry as extended XYZ:
```
4
Lattice="4.214 0.000 0.000 0.000 1.655 5.140 0.000 -1.655 5.140" Properties=species:S:1:pos:R:3 pbc="T T T"
In 0.000 0.000 0.000
In 2.107 0.000 3.341
Fe 0.000 0.000 7.423
Os 2.107 0.000 6.191
```


# 5
The following is a DFT calculation (GGA-PBE) of a geometry-optimized La2ZnRh structure.

Total moment in μB per cell: 0.0
Formation enthalpy at 0 K in kJ/mol of atoms: -53

Geometry as extended XYZ:
```
8
Lattice="6.262 0.000 0.000 0.000 4.080 0.000 -3.084 0.000 8.145" Properties=species:S:1:pos:R:3 pbc="T T T"
La 0.085 1.020 3.355
La -1.516 1.020 7.738
La 4.695 3.060 0.406
La 3.094 3.060 4.789
Zn 0.088 3.060 5.817
Zn 3.090 1.020 2.328
Rh 1.289 3.060 1.696
Rh 1.889 1.020 6.449
```


# 6
The following is a DFT calculation (GGA-PBE) of a geometry-optimized PmUCo4 structure.

Total moment in μB per cell: 0.0
Formation enthalpy at 0 K in kJ/mol of atoms: -6

Geometry as extended XYZ:
```
12
Lattice="4.845 -3.074 0.000 4.845 3.074 0.000 -2.478 0.000 6.374" Properties=species:S:1:pos:R:3 pbc="T T T"
Pm 1.179 0.000 1.899
Pm 6.033 0.000 4.475
U 2.687 0.000 4.729
U 4.524 0.000 1.645
Co 3.635 1.693 0.527
Co 3.606 1.840 3.187
Co 0.433 0.000 4.816
Co 3.576 1.693 5.847
Co 3.635 -1.693 0.527
Co 6.778 0.000 1.559
Co 3.606 -1.840 3.187
Co 3.576 -1.693 5.847
```


Values for raw total energy, eV/atom, ordered as above
-5.04, -6.51, -2.69, -5.91, -5.17, -7.48
Values for Fermi-level density of states, states/eV/f.u., ordered as above
16.99, 1.77, 1.99, 2.76, 3.58, 6.42